# PBEsol Tl2PRh, optimized geometry
data_Tl2PRh
_chemical_formula_sum 'Tl4 P2 Rh2'
_cell_length_a 3.1331
_cell_length_b 4.5568
_cell_length_c 11.8654
_cell_angle_alpha 90.00
_cell_angle_beta 90.00
_cell_angle_gamma 90.00
_symmetry_space_group_name_H-M 'I m m 2'
_symmetry_Int_Tables_number 44
loop_
_symmetry_equiv_pos_as_xyz
'x,y,z'
'-x,-y,z'
'-x,y,z'
'x,-y,z'
'x+1/2,y+1/2,z+1/2'
'-x+1/2,-y+1/2,z+1/2'
'-x+1/2,y+1/2,z+1/2'
'x+1/2,-y+1/2,z+1/2'
loop_
_atom_site_label
_atom_site_type_symbol
_atom_site_fract_x
_atom_site_fract_y
_atom_site_fract_z
Tl1 Tl 0.0000 0.0000 0.0000
Tl2 Tl 0.0000 0.5000 0.1984
P1 P 0.0000 0.5000 0.8074
Rh1 Rh 0.0000 0.0000 0.4457
# - ΔH_f (0 K) (meV/atom) = 12
# - energy relative to the lowest polymorph listed for this composition (meV/atom) = 136



# PBEsol Cr3SiNi, optimized geometry
data_Cr3SiNi
_chemical_formula_sum 'Cr3 Si1 Ni1'
_cell_length_a 4.2328
_cell_length_b 4.2328
_cell_length_c 4.2328
_cell_angle_alpha 90.00
_cell_angle_beta 90.00
_cell_angle_gamma 90.00
_symmetry_space_group_name_H-M 'P m -3 m'
_symmetry_Int_Tables_number 221
_symmetry_space_group_name_Hall '-P 4 2 3'
loop_
_atom_site_label
_atom_site_type_symbol
_atom_site_fract_x
_atom_site_fract_y
_atom_site_fract_z
Cr1 Cr 0.0000 0.0000 0.5000
Si1 Si 0.5000 0.5000 0.5000
Ni1 Ni 0.0000 0.0000 0.0000
# - raw formation energy (meV/atom) = 1275



# PBEsol FeAgBr2, optimized geometry
data_FeAgBr2
_chemical_formula_sum 'Fe4 Ag4 Br8'
_cell_length_a 6.8638
_cell_length_b 6.8638
_cell_length_c 6.8638
_cell_angle_alpha 90.00
_cell_angle_beta 90.00
_cell_angle_gamma 90.00
_symmetry_space_group_name_H-M 'F -4 3 m'
_symmetry_Int_Tables_number 216
_symmetry_space_group_name_Hall 'F -4 2 3'
loop_
_atom_site_label
_atom_site_type_symbol
_atom_site_fract_x
_atom_site_fract_y
_atom_site_fract_z
Fe1 Fe 0.0000 0.0000 0.0000
Ag1 Ag 0.2500 0.2500 0.2500
Br1 Br 0.0000 0.0000 0.5000
Br2 Br 0.2500 0.2500 0.7500
# - raw formation energy (meV/atom) = 696
# - energy relative to the lowest polymorph listed for this composition (meV/atom) = 545



# PBEsol SrZrAg, optimized geometry
data_SrZrAg
_chemical_formula_sum 'Sr1 Zr1 Ag1'
_cell_length_a 4.6551
_cell_length_b 4.6551
_cell_length_c 4.5786
_cell_angle_alpha 90.00
_cell_angle_beta 90.00
_cell_angle_gamma 120.00
_symmetry_space_group_name_H-M 'P -6 m 2'
_symmetry_Int_Tables_number 187
_symmetry_space_group_name_Hall 'P -6 2'
loop_
_atom_site_label
_atom_site_type_symbol
_atom_site_fract_x
_atom_site_fract_y
_atom_site_fract_z
Sr1 Sr 0.0000 0.0000 0.0000
Zr1 Zr 0.6667 0.3333 0.5000
Ag1 Ag 0.3333 0.6667 0.5000
# - ΔH_f (0 K) (meV/atom) = 402
# - energy relative to the lowest polymorph listed for this composition (meV/atom) = 0